Material: NaPaRuO6
Method: DFT, PBE
State: relaxed

## Properties
**Space group**: P4_2nm (102)
**VASP energy**: -7.504 eV per atom
**Calculated density**: 6.09 g/cm3
**ΔE_f (raw)**: -1.97 eV per atom

a = 4.9793 Å, b = 4.9793 Å, c = 9.9230 Å
α = 90.00°, β = 90.00°, γ = 90.00°
Element x y z (fractional)
Na (0.0000, 0.0000, 0.0000)
Na (0.5000, 0.5000, 0.5000)
Pa (0.0000, 0.0000, 0.3384)
Pa (0.5000, 0.5000, 0.8384)
Ru (0.0000, 0.0000, 0.6692)
Ru (0.5000, 0.5000, 0.1692)
O (0.1786, 0.1786, 0.5230)
O (0.2031, 0.2031, 0.8124)
O (0.2311, 0.2311, 0.1859)
O (0.2689, 0.7311, 0.6859)
O (0.2969, 0.7031, 0.3124)
O (0.3214, 0.6786, 0.0230)
O (0.6786, 0.3214, 0.0230)
O (0.7031, 0.2969, 0.3124)
O (0.7311, 0.2689, 0.6859)
O (0.7689, 0.7689, 0.1859)
O (0.7969, 0.7969, 0.8124)
O (0.8214, 0.8214, 0.5230)